14
Lattice="5.6838 -4.0444 0.0000 5.6838 4.0444 0.0000 -3.4214 0.0000 6.1842" Properties=species:S:1:pos:R:3 comment="FeHgClF4 | Alexandria | PBE+U | relaxed" dft_energy_ev_per_atom=-3.94 mass_density_g_cm3=4.30 crystal_system=monoclinic pbc="T T T"
Fe 0.6371 0.0000 1.4499
Fe 7.3090 0.0000 4.7343
Hg 0.6178 0.0000 5.2411
Hg 7.3284 0.0000 0.9431
Cl 4.4733 0.0000 1.3765
Cl 3.4728 0.0000 4.8077
F 1.5310 1.6004 1.5863
F -2.3227 0.0000 5.5956
F -0.1304 0.0000 3.2114
F 1.5310 -1.6004 1.5863
F 6.4151 1.6004 4.5978
F 8.0765 0.0000 2.9727
F 10.2688 0.0000 0.5886
F 6.4151 -1.6004 4.5978